Entry a
The following is a PBE calculation of a relaxed BeAlReTe crystal, from OQMD.

SG ... F-43m, No. 216

a = 4.4813 Å, b = 4.4813 Å, c = 4.4813 Å
α = 60.00°, β = 60.00°, γ = 60.00°
Last column: nearest neighbours and their distance in Å.
Sites, in units of the cell vectors:
Al: 0.5000 0.5000 0.5000  4 Be 2.74, 4 Re 2.74
Be: 0.7500 0.7500 0.7500  4 Al 2.74, 4 Te 2.74
Re: 0.2500 0.2500 0.2500  4 Te 2.74, 4 Al 2.74
Te: 0.0000 0.0000 0.0000  4 Re 2.74, 4 Be 2.74

---

Entry b
The following is a PBE calculation of a relaxed BeAlReTe crystal, from OQMD.

SG ... F-43m, No. 216

a = 4.4862 Å, b = 4.4862 Å, c = 4.4862 Å
α = 60.00°, β = 60.00°, γ = 60.00°
Last column: nearest neighbours and their distance in Å.
Sites, in units of the cell vectors:
Al: 0.2500 0.2500 0.2500  4 Re 2.75, 4 Te 2.75
Be: 0.7500 0.7500 0.7500  4 Re 2.75, 4 Te 2.75
Re: 0.5000 0.5000 0.5000  4 Be 2.75, 4 Al 2.75
Te: 0.0000 0.0000 0.0000  4 Be 2.75, 4 Al 2.75

---

Order of stability, best first: entry a, entry b

---

Entry a
The following is a PBE calculation of a relaxed BeAlTcW crystal, from OQMD.

SG ... F-43m, No. 216

a = 4.2366 Å, b = 4.2366 Å, c = 4.2366 Å
α = 60.00°, β = 60.00°, γ = 60.00°
Last column: nearest neighbours and their distance in Å.
Sites, in units of the cell vectors:
Al: 0.2500 0.2500 0.2500  4 Tc 2.59, 4 W 2.59
Be: 0.7500 0.7500 0.7500  4 W 2.59, 4 Tc 2.59
Tc: 0.5000 0.5000 0.5000  4 Al 2.59, 4 Be 2.59
W: 0.0000 0.0000 0.0000  4 Be 2.59, 4 Al 2.59

---

Entry b
The following is a PBE calculation of a relaxed BeAlTcW crystal, from OQMD.

SG ... F-43m, No. 216

a = 4.2516 Å, b = 4.2516 Å, c = 4.2516 Å
α = 60.00°, β = 60.00°, γ = 60.00°
Last column: nearest neighbours and their distance in Å.
Sites, in units of the cell vectors:
Al: 0.5000 0.5000 0.5000  4 Tc 2.60, 4 Be 2.60
Be: 0.7500 0.7500 0.7500  4 W 2.60, 4 Al 2.60
Tc: 0.2500 0.2500 0.2500  4 W 2.60, 4 Al 2.60
W: 0.0000 0.0000 0.0000  4 Tc 2.60, 4 Be 2.60

---

Order of stability, best first: entry b, entry a

---

Entry a
The following is a PBE calculation of a relaxed AlCoCuBi crystal, from OQMD.

SG ... F-43m, No. 216

a = 4.5762 Å, b = 4.5762 Å, c = 4.5762 Å
α = 60.00°, β = 60.00°, γ = 60.00°
Last column: nearest neighbours and their distance in Å.
Sites, in units of the cell vectors:
Al: 0.2500 0.2500 0.2500  4 Bi 2.80, 4 Co 2.80
Bi: 0.5000 0.5000 0.5000  4 Cu 2.80, 4 Al 2.80
Co: 0.0000 0.0000 0.0000  4 Cu 2.80, 4 Al 2.80
Cu: 0.7500 0.7500 0.7500  4 Bi 2.80, 4 Co 2.80

---

Entry b
The following is a PBE calculation of a relaxed AlCoCuBi crystal, from OQMD.

SG ... F-43m, No. 216

a = 4.5017 Å, b = 4.5017 Å, c = 4.5017 Å
α = 60.00°, β = 60.00°, γ = 60.00°
Last column: nearest neighbours and their distance in Å.
Sites, in units of the cell vectors:
Al: 0.0000 0.0000 0.0000  4 Co 2.76, 4 Cu 2.76
Bi: 0.5000 0.5000 0.5000  4 Cu 2.76, 4 Co 2.76
Co: 0.2500 0.2500 0.2500  4 Al 2.76, 4 Bi 2.76
Cu: 0.7500 0.7500 0.7500  4 Bi 2.76, 4 Al 2.76

---

Order of stability, best first: entry b, entry a

---

Entry a
The following is a PBE calculation of a relaxed LiAlCoBi crystal, from OQMD.

SG ... F-43m, No. 216

a = 4.6130 Å, b = 4.6130 Å, c = 4.6130 Å
α = 60.00°, β = 60.00°, γ = 60.00°
Last column: nearest neighbours and their distance in Å.
Sites, in units of the cell vectors:
Al: 0.2500 0.2500 0.2500  4 Bi 2.82, 4 Co 2.82
Bi: 0.5000 0.5000 0.5000  4 Al 2.82, 4 Li 2.82
Co: 0.0000 0.0000 0.0000  4 Li 2.82, 4 Al 2.82
Li: 0.7500 0.7500 0.7500  4 Co 2.82, 4 Bi 2.82

---

Entry b
The following is a PBE calculation of a relaxed LiAlCoBi crystal, from OQMD.

SG ... F-43m, No. 216

a = 4.4812 Å, b = 4.4812 Å, c = 4.4812 Å
α = 60.00°, β = 60.00°, γ = 60.00°
Last column: nearest neighbours and their distance in Å.
Sites, in units of the cell vectors:
Al: 0.0000 0.0000 0.0000  4 Li 2.74, 4 Co 2.74
Bi: 0.5000 0.5000 0.5000  4 Li 2.74, 4 Co 2.74
Co: 0.2500 0.2500 0.2500  4 Bi 2.74, 4 Al 2.74
Li: 0.7500 0.7500 0.7500  4 Bi 2.74, 4 Al 2.74

---

Order of stability, best first: entry b, entry a

---

Entry a
The following is a PBE calculation of a relaxed NaAlCoBi crystal, from OQMD.

SG ... F-43m, No. 216

a = 4.6711 Å, b = 4.6711 Å, c = 4.6711 Å
α = 60.00°, β = 60.00°, γ = 60.00°
Last column: nearest neighbours and their distance in Å.
Sites, in units of the cell vectors:
Al: 0.0000 0.0000 0.0000  4 Na 2.86, 4 Co 2.86
Bi: 0.5000 0.5000 0.5000  4 Co 2.86, 4 Na 2.86
Co: 0.2500 0.2500 0.2500  4 Bi 2.86, 4 Al 2.86
Na: 0.7500 0.7500 0.7500  4 Al 2.86, 4 Bi 2.86

---

Entry b
The following is a PBE calculation of a relaxed NaAlCoBi crystal, from OQMD.

SG ... F-43m, No. 216

a = 4.8726 Å, b = 4.8726 Å, c = 4.8726 Å
α = 60.00°, β = 60.00°, γ = 60.00°
Last column: nearest neighbours and their distance in Å.
Sites, in units of the cell vectors:
Al: 0.5000 0.5000 0.5000  4 Na 2.98, 4 Bi 2.98
Bi: 0.2500 0.2500 0.2500  4 Co 2.98, 4 Al 2.98
Co: 0.0000 0.0000 0.0000  4 Bi 2.98, 4 Na 2.98
Na: 0.7500 0.7500 0.7500  4 Al 2.98, 4 Co 2.98

---

Order of stability, best first: entry a, entry b

---

Entry a
The following is a PBE calculation of a relaxed Hf3Zr3AlBi2 crystal, from OQMD.

SG ... P-62m, No. 189

a = 7.7059 Å, b = 7.7059 Å, c = 3.9910 Å
α = 90.00°, β = 90.00°, γ = 120.00°
Last column: nearest neighbours and their distance in Å.
Sites, in units of the cell vectors:
Al: 0.0000 0.0000 0.0000  6 Zr 2.72, 3 Hf 2.99
Bi: 0.6667 0.3333 0.5000  3 Zr 2.99, 6 Hf 3.11
Bi: 0.3333 0.6667 0.5000  3 Zr 2.99, 6 Hf 3.11
Hf: 0.3880 0.0000 0.0000  1 Al 2.99, 4 Bi 3.11, 4 Zr 3.29
Hf: 0.0000 0.3880 0.0000  1 Al 2.99, 4 Bi 3.11, 4 Zr 3.29
Hf: 0.6120 0.6120 0.0000  1 Al 2.99, 4 Bi 3.11, 4 Zr 3.29
Zr: 0.7593 0.0000 0.5000  2 Al 2.72, 2 Bi 2.99
Zr: 0.2407 0.2407 0.5000  2 Al 2.72, 2 Bi 2.99
Zr: 0.0000 0.7593 0.5000  2 Al 2.72, 2 Bi 2.99

---

Entry b
The following is a PBE calculation of a relaxed Hf3Zr3AlBi2 crystal, from OQMD.

SG ... P-62m, No. 189

a = 7.6488 Å, b = 7.6488 Å, c = 4.0341 Å
α = 90.00°, β = 90.00°, γ = 120.00°
Last column: nearest neighbours and their distance in Å.
Sites, in units of the cell vectors:
Al: 0.0000 0.0000 0.0000  6 Hf 2.70, 3 Zr 3.00
Bi: 0.6667 0.3333 0.5000  3 Hf 2.99-3.00, 6 Zr 3.10
Bi: 0.3333 0.6667 0.5000  3 Hf 2.99-3.00, 6 Zr 3.10
Hf: 0.7646 0.0000 0.5000  2 Al 2.70, 2 Bi 2.99-3.00
Hf: 0.2354 0.2354 0.5000  2 Al 2.70, 2 Bi 2.99
Hf: 0.0000 0.7646 0.5000  2 Al 2.70, 2 Bi 2.99-3.00
Zr: 0.3928 0.0000 0.0000  1 Al 3.00, 4 Bi 3.10, 4 Hf 3.31
Zr: 0.0000 0.3928 0.0000  1 Al 3.00, 4 Bi 3.10, 4 Hf 3.31
Zr: 0.6072 0.6072 0.0000  1 Al 3.00, 4 Bi 3.10, 4 Hf 3.31

---

Order of stability, best first: entry b, entry a

---

Entry a
The following is a PBE calculation of a relaxed LiAlBiIr crystal, from OQMD.

SG ... F-43m, No. 216

a = 4.5996 Å, b = 4.5996 Å, c = 4.5996 Å
α = 60.00°, β = 60.00°, γ = 60.00°
Last column: nearest neighbours and their distance in Å.
Sites, in units of the cell vectors:
Al: 0.0000 0.0000 0.0000  4 Ir 2.82, 4 Li 2.82
Bi: 0.5000 0.5000 0.5000  4 Ir 2.82, 4 Li 2.82
Ir: 0.2500 0.2500 0.2500  4 Al 2.82, 4 Bi 2.82
Li: 0.7500 0.7500 0.7500  4 Al 2.82, 4 Bi 2.82

---

Entry b
The following is a PBE calculation of a relaxed LiAlBiIr crystal, from OQMD.

SG ... F-43m, No. 216

a = 4.6139 Å, b = 4.6139 Å, c = 4.6139 Å
α = 60.00°, β = 60.00°, γ = 60.00°
Last column: nearest neighbours and their distance in Å.
Sites, in units of the cell vectors:
Al: 0.2500 0.2500 0.2500  4 Ir 2.83, 4 Bi 2.83
Bi: 0.5000 0.5000 0.5000  4 Li 2.83, 4 Al 2.83
Ir: 0.0000 0.0000 0.0000  4 Al 2.83, 4 Li 2.83
Li: 0.7500 0.7500 0.7500  4 Bi 2.83, 4 Ir 2.83

---

Order of stability, best first: entry a, entry b

---

Entry a
The following is a PBE calculation of a relaxed NaAlBiIr crystal, from OQMD.

SG ... F-43m, No. 216

a = 4.8495 Å, b = 4.8495 Å, c = 4.8495 Å
α = 60.00°, β = 60.00°, γ = 60.00°
Last column: nearest neighbours and their distance in Å.
Sites, in units of the cell vectors:
Al: 0.5000 0.5000 0.5000  4 Na 2.97, 4 Bi 2.97
Bi: 0.2500 0.2500 0.2500  4 Al 2.97, 4 Ir 2.97
Ir: 0.0000 0.0000 0.0000  4 Na 2.97, 4 Bi 2.97
Na: 0.7500 0.7500 0.7500  4 Ir 2.97, 4 Al 2.97

---

Entry b
The following is a PBE calculation of a relaxed NaAlBiIr crystal, from OQMD.

SG ... F-43m, No. 216

a = 4.7269 Å, b = 4.7269 Å, c = 4.7269 Å
α = 60.00°, β = 60.00°, γ = 60.00°
Last column: nearest neighbours and their distance in Å.
Sites, in units of the cell vectors:
Al: 0.0000 0.0000 0.0000  4 Ir 2.89, 4 Na 2.89
Bi: 0.5000 0.5000 0.5000  4 Na 2.89, 4 Ir 2.89
Ir: 0.2500 0.2500 0.2500  4 Al 2.89, 4 Bi 2.89
Na: 0.7500 0.7500 0.7500  4 Bi 2.89, 4 Al 2.89

---

Order of stability, best first: entry b, entry a

---

Entry a
The following is a PBE calculation of a relaxed PmAlBi crystal, from OQMD.

SG ... F-43m, No. 216

a = 5.0370 Å, b = 5.0370 Å, c = 5.0370 Å
α = 60.00°, β = 60.00°, γ = 60.00°
Last column: nearest neighbours and their distance in Å.
Sites, in units of the cell vectors:
Al: 0.0000 0.0000 0.0000  4 Pm 3.08, 4 Bi 3.08
Bi: 0.2500 0.2500 0.2500  4 Al 3.08
Pm: 0.7500 0.7500 0.7500  4 Al 3.08

---

Entry b
The following is a PBE calculation of a relaxed PmAlBi crystal, from OQMD.

SG ... F-43m, No. 216

a = 5.1728 Å, b = 5.1728 Å, c = 5.1728 Å
α = 60.00°, β = 60.00°, γ = 60.00°
Last column: nearest neighbours and their distance in Å.
Sites, in units of the cell vectors:
Al: 0.2500 0.2500 0.2500  4 Pm 3.17
Bi: 0.7500 0.7500 0.7500  4 Pm 3.17
Pm: 0.0000 0.0000 0.0000  4 Al 3.17, 4 Bi 3.17

---

Order of stability, best first: entry a, entry b

---

Entry a
The following is a PBE calculation of a relaxed TaAlBi crystal, from OQMD.

SG ... F-43m, No. 216

a = 4.7184 Å, b = 4.7184 Å, c = 4.7184 Å
α = 60.00°, β = 60.00°, γ = 60.00°
Last column: nearest neighbours and their distance in Å.
Sites, in units of the cell vectors:
Al: 0.2500 0.2500 0.2500  4 Ta 2.89
Bi: 0.7500 0.7500 0.7500  4 Ta 2.89
Ta: 0.0000 0.0000 0.0000  4 Bi 2.89, 4 Al 2.89

---

Entry b
The following is a PBE calculation of a relaxed TaAlBi crystal, from OQMD.

SG ... F-43m, No. 216

a = 4.7633 Å, b = 4.7633 Å, c = 4.7633 Å
α = 60.00°, β = 60.00°, γ = 60.00°
Last column: nearest neighbours and their distance in Å.
Sites, in units of the cell vectors:
Al: 0.2500 0.2500 0.2500  4 Bi 2.92
Bi: 0.0000 0.0000 0.0000  4 Al 2.92, 4 Ta 2.92
Ta: 0.7500 0.7500 0.7500  4 Bi 2.92

---

Order of stability, best first: entry a, entry b

---

Entry a
The following is a PBE calculation of a relaxed Al2PdI4Br4 crystal, from OQMD.

SG ... C2/m, No. 12

a = 8.0411 Å, b = 8.0411 Å, c = 7.6682 Å
α = 93.61°, β = 93.61°, γ = 68.92°
Last column: nearest neighbours and their distance in Å.
Sites, in units of the cell vectors:
Al: 0.2198 0.2198 0.3301  2 Br 2.27-2.29
Al: 0.7802 0.7802 0.6699  2 Br 2.27-2.29
Br: 0.3850 0.3850 0.2696  1 Al 2.27
Br: 0.8064 0.8064 0.3785  1 Al 2.29
Br: 0.1936 0.1936 0.6215  1 Al 2.29
Br: 0.6150 0.6150 0.7304  1 Al 2.27
I: 0.9077 0.3188 0.1610  1 Al 2.63, 1 Pd 2.65
I: 0.3188 0.9077 0.1610  1 Al 2.63, 1 Pd 2.65
I: 0.6812 0.0923 0.8390  1 Al 2.63, 1 Pd 2.65
I: 0.0923 0.6812 0.8390  1 Al 2.63, 1 Pd 2.65
Pd: 0.0000 0.0000 0.0000  4 I 2.65

---

Entry b
The following is a PBE calculation of a relaxed Al2PdI4Br4 crystal, from OQMD.

SG ... C2/m, No. 12

a = 8.0521 Å, b = 8.0521 Å, c = 7.7813 Å
α = 97.45°, β = 97.45°, γ = 67.99°
Last column: nearest neighbours and their distance in Å.
Sites, in units of the cell vectors:
Al: 0.2129 0.2129 0.3177  2 Br 2.41, 2 I 2.49-2.51
Al: 0.7871 0.7871 0.6823  2 Br 2.41, 2 I 2.49-2.51
Br: 0.9197 0.3045 0.1581  1 Al 2.41, 1 Pd 2.49
Br: 0.3045 0.9197 0.1581  1 Al 2.41, 1 Pd 2.49
Br: 0.6955 0.0803 0.8419  1 Al 2.41, 1 Pd 2.49
Br: 0.0803 0.6955 0.8419  1 Al 2.41, 1 Pd 2.49
I: 0.3906 0.3906 0.2570  1 Al 2.49
I: 0.8099 0.8099 0.3683  1 Al 2.51
I: 0.1901 0.1901 0.6317  1 Al 2.51
I: 0.6094 0.6094 0.7430  1 Al 2.49
Pd: 0.0000 0.0000 0.0000  4 Br 2.49

---

Order of stability, best first: entry a, entry b

---

Entry a
The following is a PBE calculation of a relaxed ZrAlCuC crystal, from OQMD.

SG ... P6_3mc, No. 186

a = 3.1974 Å, b = 3.1974 Å, c = 13.0193 Å
α = 90.00°, β = 90.00°, γ = 120.00°
Last column: nearest neighbours and their distance in Å.
Sites, in units of the cell vectors:
Al: 0.0000 0.0000 0.0380  3 C 2.06
Al: 0.0000 0.0000 0.5380  3 C 2.06
C: 0.6667 0.3333 0.1085  3 Al 2.06
C: 0.3333 0.6667 0.6085  3 Al 2.06
Cu: 0.6667 0.3333 0.3850  3 Al 2.72, 3 Zr 2.85
Cu: 0.3333 0.6667 0.8850  3 Al 2.72, 3 Zr 2.85
Zr: 0.3333 0.6667 0.2184  3 C 2.34
Zr: 0.6667 0.3333 0.7184  3 C 2.34

---

Entry b
The following is a PBE calculation of a relaxed ZrAlCuC crystal, from OQMD.

SG ... P-3m1, No. 164

a = 4.1489 Å, b = 4.1489 Å, c = 7.2170 Å
α = 90.00°, β = 90.00°, γ = 120.00°
Last column: nearest neighbours and their distance in Å.
Sites, in units of the cell vectors:
Al: 0.0000 0.0000 0.0000  6 Cu 2.47
Al: 0.0000 0.0000 0.5000  6 C 2.59, 6 Zr 2.75
C: 0.6667 0.3333 0.3634  1 Cu 2.01
C: 0.3333 0.6667 0.6366  1 Cu 2.01
Cu: 0.6667 0.3333 0.0843  1 C 2.01
Cu: 0.3333 0.6667 0.9157  1 C 2.01
Zr: 0.3333 0.6667 0.3141  4 C 2.33-2.42
Zr: 0.6667 0.3333 0.6859  4 C 2.33-2.42

---

Order of stability, best first: entry a, entry b